# 1
Compound: TlTcNi2
Source: Alexandria
Functional: GGA-PBE
Structure: relaxed

Structure (POSCAR):
```
TlTcNi2
1.0
2.8676 0.0000 0.0000
-1.4338 2.4834 0.0000
0.0000 0.0000 25.6536
Tl Tc Ni
3 3 6
Cartesian
0.0000 0.0000 0.0000
0.0000 1.6556 17.1024
1.4338 0.8278 8.5512
0.0000 0.0000 12.8268
0.0000 1.6556 4.2756
1.4338 0.8278 21.3780
0.0000 0.0000 6.2477
0.0000 0.0000 19.4059
0.0000 1.6556 10.8547
0.0000 1.6556 23.3501
1.4338 0.8278 2.3035
1.4338 0.8278 14.7989
```

Properties
* VASP energy: -22.3 eV/f.u.
* DFT formation energy: 195 kJ/mol of formula units
* magnetization: 0.001 μB per cell
* mass density: 11.45 g/cm³

---

# 2
Compound: SnHg2Cl6
Source: Alexandria
Functional: GGA-PBE
Structure: relaxed

Structure (POSCAR):
```
SnHg2Cl6
1.0
4.1804 0.0000 0.0000
0.8712 7.0499 0.0000
0.4128 1.9862 9.8413
Sn Hg Cl
1 2 6
Cartesian
0.0000 0.0000 0.0000
2.0382 3.5766 3.1608
3.4262 5.4596 6.6805
0.7483 4.4467 8.2343
1.8314 6.2095 5.1047
2.0891 1.0724 1.5769
3.3753 7.9638 8.2644
3.6330 2.8267 4.7366
4.7161 4.5895 1.6070
```

Properties
* VASP energy: -22.1 eV/f.u.
* magnetization: 0.000 μB per cell
* mass density: 4.19 g/cm³

---

# 3
Compound: Rb4Re6S13
Source: Alexandria
Functional: GGA-PBE
Structure: relaxed

Structure (POSCAR):
```
Rb4Re6S13
1.0
4.9627 -8.4588 0.0000
4.9627 8.4588 0.0000
-2.2472 0.0000 14.0362
Rb Re S
8 12 26
Cartesian
1.4784 2.4117 5.3419
1.1401 0.5258 9.2551
2.2637 -0.5258 2.2370
0.3548 -2.4117 12.3601
7.3234 2.4117 1.6762
5.4145 0.5258 11.7992
6.5381 -0.5258 4.7811
6.1998 -2.4117 8.6943
-0.5432 2.5476 13.7733
3.3713 3.5702 1.5219
1.6689 3.7305 12.9636
0.5804 -2.5476 6.7552
4.8857 3.7305 8.0907
5.4305 3.5702 5.4962
2.2477 -3.5702 8.5400
2.7925 -3.7305 5.9455
7.0978 2.5476 7.2810
6.0093 -3.7305 1.0726
4.3069 -3.5702 12.5143
8.2214 -2.5476 0.2629
1.2283 2.5581 2.1023
0.0180 2.8294 11.4418
-1.4896 0.2680 13.3301
-0.3660 -0.2680 6.3120
3.4652 4.7297 6.3717
2.9707 3.1919 9.5168
5.3366 4.7297 0.6465
3.9300 1.6375 0.1497
0.1047 -2.5581 9.1205
4.4009 2.4811 3.5091
1.1416 -2.8294 4.4237
3.5840 3.1919 11.5375
2.8064 -1.6375 7.1678
4.8718 1.6375 6.8684
4.0943 -3.1919 2.4987
6.5366 2.8294 9.6126
3.2773 -2.4811 10.5272
7.5735 2.5581 4.9158
3.7482 -1.6375 13.8865
2.3416 -4.7297 13.3898
4.7076 -3.1919 4.5194
4.2130 -4.7297 7.6646
8.0442 0.2680 7.7243
9.1678 -0.2680 0.7061
7.6602 -2.8294 2.5944
6.4499 -2.5581 11.9339
```

Properties
* VASP energy: -150.0 eV/f.u.
* magnetization: 0.000 μB per cell
* mass density: 5.29 g/cm³